(1)
The following is a DFT calculation (PBE) of a geometry-optimized AlTl2Sb structure.

Output
- ΔE_f (raw) (eV per atom) = 0.195
- crystal system = tetragonal
- energy above the most stable polymorph in this dataset (meV per atom) = 117.0
- SG = I-4m2

Structure (CIF):
```
data_AlTl2Sb
_space_group_name_H-M_alt 'P 1'
_space_group_IT_number 1
_space_group_name_Hall 'P 1'
_cell_length_a 5.678
_cell_length_b 5.678
_cell_length_c 5.678
_cell_angle_alpha 127.81
_cell_angle_beta 127.81
_cell_angle_gamma 76.94
loop_
_atom_site_label
_atom_site_type_symbol
_atom_site_fract_x
_atom_site_fract_y
_atom_site_fract_z
Sb1 Sb 0.750 0.250 0.500
Tl1 Tl 0.000 0.000 0.000
Tl2 Tl 0.250 0.750 0.500
Al1 Al 0.500 0.500 0.000
```



(2)
The following is a DFT calculation (PBE) of a geometry-optimized CsSrO2F structure.

Output
- ΔE_f (raw) (eV per atom) = -1.147
- crystal system = tetragonal
- SG = P4/mmm

Structure (CIF):
```
data_CsSrO2F
_space_group_name_H-M_alt 'P 1'
_space_group_IT_number 1
_space_group_name_Hall 'P 1'
_cell_length_a 4.594
_cell_length_b 4.594
_cell_length_c 5.114
_cell_angle_alpha 90.00
_cell_angle_beta 90.00
_cell_angle_gamma 90.00
loop_
_atom_site_label
_atom_site_type_symbol
_atom_site_fract_x
_atom_site_fract_y
_atom_site_fract_z
Cs1 Cs 0.000 0.000 0.000
Sr1 Sr 0.500 0.500 0.500
O1 O 0.000 0.500 0.000
O2 O 0.500 0.000 0.000
F1 F 0.000 0.000 0.500
```



(3)
The following is a DFT calculation (PBE) of a geometry-optimized PrSm4Cd2 structure.

Output
- crystal system = trigonal
- energy of formation from the pure elements (eV per atom) = 0.1999
- SG = R-3m

Structure (CIF):
```
data_PrSm4Cd2
_space_group_name_H-M_alt 'P 1'
_space_group_IT_number 1
_space_group_name_Hall 'P 1'
_cell_length_a 5.156
_cell_length_b 5.156
_cell_length_c 11.028
_cell_angle_alpha 76.48
_cell_angle_beta 76.48
_cell_angle_gamma 60.00
loop_
_atom_site_label
_atom_site_type_symbol
_atom_site_fract_x
_atom_site_fract_y
_atom_site_fract_z
Pr1 Pr 0.500 0.500 0.500
Sm1 Sm 0.702 0.702 0.894
Sm2 Sm 0.893 0.893 0.322
Sm3 Sm 0.298 0.298 0.106
Sm4 Sm 0.107 0.107 0.678
Cd1 Cd 0.600 0.600 0.199
Cd2 Cd 0.400 0.400 0.801
```



(4)
The following is a DFT calculation (PBE) of a geometry-optimized Y3Ho5S8 structure.

Output
- ΔE_f (raw) (eV per atom) = -1.978
- crystal system = trigonal
- SG = R-3m

Structure (CIF):
```
data_Y3Ho5S8
_space_group_name_H-M_alt 'P 1'
_space_group_IT_number 1
_space_group_name_Hall 'P 1'
_cell_length_a 7.794
_cell_length_b 7.794
_cell_length_c 7.797
_cell_angle_alpha 60.02
_cell_angle_beta 60.02
_cell_angle_gamma 60.00
loop_
_atom_site_label
_atom_site_type_symbol
_atom_site_fract_x
_atom_site_fract_y
_atom_site_fract_z
Y1 Y 0.500 0.000 0.500
Y2 Y 0.000 0.000 0.500
Y3 Y 0.000 0.500 0.500
Ho1 Ho 0.500 0.000 0.000
Ho2 Ho 0.500 0.500 0.000
Ho3 Ho 0.000 0.000 0.000
Ho4 Ho 0.000 0.500 0.000
Ho5 Ho 0.500 0.500 0.500
S1 S 0.250 0.250 0.752
S2 S 0.250 0.748 0.752
S3 S 0.748 0.250 0.752
S4 S 0.749 0.749 0.754
S5 S 0.750 0.750 0.248
S6 S 0.750 0.252 0.248
S7 S 0.252 0.750 0.248
S8 S 0.251 0.251 0.246
```



(5)
The following is a DFT calculation (PBE) of a geometry-optimized BH2Ir2 structure.

Output
- crystal system = tetragonal
- energy above the most stable polymorph in this dataset (meV per atom) = 0.0
- SG = P4/mbm

Structure (CIF):
```
data_BH2Ir2
_space_group_name_H-M_alt 'P 1'
_space_group_IT_number 1
_space_group_name_Hall 'P 1'
_cell_length_a 5.600
_cell_length_b 5.600
_cell_length_c 3.176
_cell_angle_alpha 90.00
_cell_angle_beta 90.00
_cell_angle_gamma 90.00
loop_
_atom_site_label
_atom_site_type_symbol
_atom_site_fract_x
_atom_site_fract_y
_atom_site_fract_z
H1 H 0.251 0.751 0.500
H2 H 0.751 0.749 0.500
H3 H 0.749 0.249 0.500
H4 H 0.249 0.251 0.500
B1 B 0.000 0.000 0.000
B2 B 0.500 0.500 0.000
Ir1 Ir 0.334 0.834 0.000
Ir2 Ir 0.834 0.666 0.000
Ir3 Ir 0.666 0.166 0.000
Ir4 Ir 0.166 0.334 0.000
```



(6)
The following is a DFT calculation (PBE) of a geometry-optimized BaTlCrIn2 structure.

Output
- crystal system = tetragonal
- energy of formation from the pure elements (eV per atom) = 0.4026
- SG = P4/mmm

Structure (CIF):
```
data_BaTlCrIn2
_space_group_name_H-M_alt 'P 1'
_space_group_IT_number 1
_space_group_name_Hall 'P 1'
_cell_length_a 5.826
_cell_length_b 5.347
_cell_length_c 5.826
_cell_angle_alpha 90.00
_cell_angle_beta 90.00
_cell_angle_gamma 90.00
loop_
_atom_site_label
_atom_site_type_symbol
_atom_site_fract_x
_atom_site_fract_y
_atom_site_fract_z
Cr1 Cr 0.000 0.500 0.000
Tl1 Tl 0.000 0.000 0.000
Ba1 Ba 0.500 0.500 0.500
In1 In 0.000 0.000 0.500
In2 In 0.500 0.000 0.000
```



(7)
The following is a DFT calculation (PBE) of a geometry-optimized K4Bi2As2Au structure.

Output
- crystal system = monoclinic
- energy of formation from the pure elements (eV per atom) = -0.2819
- SG = C2/m

Structure (CIF):
```
data_K4Bi2As2Au
_space_group_name_H-M_alt 'P 1'
_space_group_IT_number 1
_space_group_name_Hall 'P 1'
_cell_length_a 6.743
_cell_length_b 7.625
_cell_length_c 7.625
_cell_angle_alpha 49.98
_cell_angle_beta 79.40
_cell_angle_gamma 79.40
loop_
_atom_site_label
_atom_site_type_symbol
_atom_site_fract_x
_atom_site_fract_y
_atom_site_fract_z
K1 K 0.219 0.611 0.105
K2 K 0.781 0.895 0.389
K3 K 0.781 0.389 0.895
K4 K 0.219 0.105 0.611
Bi1 Bi 0.315 0.592 0.592
Bi2 Bi 0.685 0.408 0.408
As1 As 0.225 0.144 0.144
As2 As 0.775 0.856 0.856
Au1 Au 0.500 0.000 0.000
```



(8)
The following is a DFT calculation (PBE) of a geometry-optimized SrTcP2Rh structure.

Output
- crystal system = tetragonal
- energy of formation from the pure elements (eV per atom) = -0.9370
- SG = I-4m2

Structure (CIF):
```
data_SrTcP2Rh
_space_group_name_H-M_alt 'P 1'
_space_group_IT_number 1
_space_group_name_Hall 'P 1'
_cell_length_a 4.076
_cell_length_b 4.076
_cell_length_c 6.373
_cell_angle_alpha 108.65
_cell_angle_beta 108.65
_cell_angle_gamma 90.00
loop_
_atom_site_label
_atom_site_type_symbol
_atom_site_fract_x
_atom_site_fract_y
_atom_site_fract_z
Sr1 Sr 0.000 0.000 0.000
Tc1 Tc 0.250 0.750 0.500
P1 P 0.647 0.647 0.294
P2 P 0.353 0.353 0.706
Rh1 Rh 0.750 0.250 0.500
```



(9)
The following is a DFT calculation (PBE) of a geometry-optimized PuBeH2 structure.

Output
- crystal system = trigonal
- raw total energy (eV per atom) = -6.04
- SG = R-3m

Structure (CIF):
```
data_PuBeH2
_space_group_name_H-M_alt 'P 1'
_space_group_IT_number 1
_space_group_name_Hall 'P 1'
_cell_length_a 2.634
_cell_length_b 2.634
_cell_length_c 5.785
_cell_angle_alpha 76.84
_cell_angle_beta 76.84
_cell_angle_gamma 60.00
loop_
_atom_site_label
_atom_site_type_symbol
_atom_site_fract_x
_atom_site_fract_y
_atom_site_fract_z
Be1 Be 0.500 0.500 0.500
H1 H 0.125 0.125 0.626
H2 H 0.875 0.875 0.374
Pu1 Pu 0.000 0.000 0.000
```



(10)
The following is a DFT calculation (PBE) of a geometry-optimized AcSmHoEr2 structure.

Output
- crystal system = orthorhombic
- energy of formation from the pure elements (eV per atom) = 0.3912
- SG = Cmcm

Structure (CIF):
```
data_AcSmHoEr2
_space_group_name_H-M_alt 'P 1'
_space_group_IT_number 1
_space_group_name_Hall 'P 1'
_cell_length_a 6.444
_cell_length_b 6.427
_cell_length_c 9.337
_cell_angle_alpha 110.13
_cell_angle_beta 90.00
_cell_angle_gamma 90.00
loop_
_atom_site_label
_atom_site_type_symbol
_atom_site_fract_x
_atom_site_fract_y
_atom_site_fract_z
Ac1 Ac 0.250 0.659 0.318
Ac2 Ac 0.750 0.341 0.682
Sm1 Sm 0.250 0.848 0.696
Sm2 Sm 0.750 0.152 0.304
Ho1 Ho 0.750 0.745 0.489
Ho2 Ho 0.250 0.255 0.511
Er1 Er 0.500 0.249 0.000
Er2 Er 0.000 0.751 0.000
Er3 Er 0.500 0.751 0.000
Er4 Er 0.000 0.249 0.000
```



(11)
The following is a DFT calculation (PBE) of a geometry-optimized P2IrSe structure.

Output
- ΔE_f (raw) (eV per atom) = -0.035
- crystal system = triclinic
- SG = P1

Structure (CIF):
```
data_P2IrSe
_space_group_name_H-M_alt 'P 1'
_space_group_IT_number 1
_space_group_name_Hall 'P 1'
_cell_length_a 3.845
_cell_length_b 4.343
_cell_length_c 5.407
_cell_angle_alpha 105.88
_cell_angle_beta 100.55
_cell_angle_gamma 90.80
loop_
_atom_site_label
_atom_site_type_symbol
_atom_site_fract_x
_atom_site_fract_y
_atom_site_fract_z
P1 P 0.800 0.928 0.239
P2 P 0.154 0.679 0.467
Ir1 Ir 0.373 0.179 0.470
Se1 Se 0.933 0.481 0.775
```



(12)
The following is a DFT calculation (PBE) of a geometry-optimized Ba2SnIrAu structure.

Output
- crystal system = tetragonal
- energy of formation from the pure elements (eV per atom) = -0.3490
- SG = P4/mmm

Structure (CIF):
```
data_Ba2SnIrAu
_space_group_name_H-M_alt 'P 1'
_space_group_IT_number 1
_space_group_name_Hall 'P 1'
_cell_length_a 6.112
_cell_length_b 6.112
_cell_length_c 5.028
_cell_angle_alpha 90.00
_cell_angle_beta 90.00
_cell_angle_gamma 90.00
loop_
_atom_site_label
_atom_site_type_symbol
_atom_site_fract_x
_atom_site_fract_y
_atom_site_fract_z
Ir1 Ir 0.000 0.000 0.000
Au1 Au 0.500 0.500 0.500
Ba1 Ba 0.000 0.500 0.000
Ba2 Ba 0.500 0.000 0.000
Sn1 Sn 0.000 0.000 0.500
```